Entry 1:
Density functional theory data (PBE) for a geometry-optimized Mg7TlHg4 structure.

Cell lengths 7.2031, 7.2031, 10.2651 Å; angles 123.94, 123.94, 42.88 degrees
Fractional coordinates of all 12 atoms:
Mg1 0.0000 0.0000 0.0000
Mg2 0.1539 0.1539 0.5841
Mg3 0.2841 0.2841 0.1252
Mg4 0.4316 0.4316 0.6594
Mg5 0.5684 0.5684 0.3406
Mg6 0.7159 0.7159 0.8748
Mg7 0.8461 0.8461 0.4159
Tl1 0.5000 0.5000 0.0000
Hg1 0.0735 0.0735 0.7804
Hg2 0.2120 0.2120 0.3395
Hg3 0.7880 0.7880 0.6605
Hg4 0.9265 0.9265 0.2196

Properties
Its density of states at the Fermi level is 0.29 states/eV/atom. As for the total energy: -1.309 eV/atom. The calculation puts the formation energy at -81 meV per atom.


Entry 2:
Density functional theory data (PBE) for a geometry-optimized Mg6TlHg2 structure.

Cell lengths 8.5528, 8.5528, 5.8225 Å; angles 93.33, 93.33, 75.54 degrees
Fractional coordinates of all 18 atoms:
Mg1 0.0819 0.8174 0.9918
Mg2 0.1446 0.4098 0.1586
Mg3 0.1826 0.9181 0.5082
Mg4 0.2346 0.5281 0.6772
Mg5 0.4098 0.1446 0.6586
Mg6 0.4719 0.7654 0.8228
Mg7 0.5281 0.2346 0.1772
Mg8 0.5902 0.8554 0.3414
Mg9 0.7654 0.4719 0.3228
Mg10 0.8174 0.0819 0.4918
Mg11 0.8554 0.5902 0.8414
Mg12 0.9181 0.1826 0.0082
Tl1 0.3949 0.6051 0.2500
Tl2 0.6051 0.3949 0.7500
Hg1 0.0555 0.2777 0.5976
Hg2 0.2777 0.0555 0.0976
Hg3 0.7223 0.9445 0.9024
Hg4 0.9445 0.7223 0.4024

Properties
Its density of states at the Fermi level is 0.23 states/eV/atom. As for the total energy: -1.500 eV/atom. The calculation puts the formation energy at -107 meV per atom.


Entry 3:
Density functional theory data (PBE) for a geometry-optimized MgTlHg2 structure.

Cell lengths 3.3978, 5.5875, 10.6655 Å; angles 90.00, 90.00, 90.00 degrees
Fractional coordinates of all 8 atoms:
Mg1 0.0000 0.0000 0.0000
Mg2 0.5000 0.5000 0.5000
Tl1 0.0000 0.0000 0.5000
Tl2 0.5000 0.5000 0.0000
Hg1 0.0000 0.5000 0.2732
Hg2 0.0000 0.5000 0.7268
Hg3 0.5000 0.0000 0.2268
Hg4 0.5000 0.0000 0.7732

Properties
Its density of states at the Fermi level is 0.31 states/eV/atom. As for the total energy: -1.192 eV/atom. The calculation puts the formation energy at -51 meV per atom.


Entry 4:
Density functional theory data (PBE) for a geometry-optimized Mg7Tl4Hg structure.

Cell lengths 3.3786, 3.3786, 29.8541 Å; angles 90.00, 90.00, 120.00 degrees
Fractional coordinates of all 12 atoms:
Mg1 0.0000 0.0000 0.0000
Mg2 0.0000 0.0000 0.2550
Mg3 0.0000 0.0000 0.7450
Mg4 0.3333 0.6667 0.1698
Mg5 0.3333 0.6667 0.4250
Mg6 0.6667 0.3333 0.5750
Mg7 0.6667 0.3333 0.8302
Tl1 0.3333 0.6667 0.6601
Tl2 0.3333 0.6667 0.9152
Tl3 0.6667 0.3333 0.0848
Tl4 0.6667 0.3333 0.3399
Hg1 0.0000 0.0000 0.5000

Properties
As for the energy above the most stable polymorph in this dataset: 0 meV per atom. Its density of states at the Fermi level is 0.56 states/eV/atom. As for the total energy: -1.768 eV/atom. The calculation puts the formation energy at -24 meV per atom.